(1)
Crystalline KBa at its relaxed geometry. Source: Alexandria via LeMat-Bulk, functional GGA-PBE.

The space group is P2_1/m (No. 11) and the conventional cell measures 4.471, 6.798 and 9.168 Å, with angles of 90.00, 100.79 and 90.00 degrees. The inequivalent atoms are K at (0.200, 0.250, 0.123) and Ba at (0.281, 0.250, 0.615).

The calculation puts the volume at 273.8 Å³ per cell. For the formation energy from the elements, the calculation gives 0.091 eV per atom.

(2)
Crystalline Fe2CoAuC at its relaxed geometry. Source: Alexandria via LeMat-Bulk, functional GGA-PBE.

The space group is P4/mmm (No. 123) and the conventional cell measures 3.900, 3.900 and 3.860 Å, with angles of 90.00, 90.00 and 90.00 degrees. The inequivalent atoms are Fe at (0.000, 0.500, 0.000), Co at (0.000, 0.000, 0.500), Au at (0.500, 0.500, 0.500) and C at (0.000, 0.000, 0.000).

The calculation puts the volume at 58.7 Å³ per cell. For the formation energy from the elements, the calculation gives 0.142 eV per atom.